[1]
Computed, not measured: a crystal of Li3ZrPt relaxed with PBEsol at the SCAN level of DFT.

The structure in extended XYZ format:
```
5
Lattice="4.445 0.000 0.000 0.000 4.445 0.000 0.000 0.000 4.445" Properties=species:S:1:pos:R:3 pbc="T T T"
Li 0.000 0.000 2.223
Li 0.000 2.223 0.000
Li 2.223 0.000 0.000
Zr 2.223 2.223 2.223
Pt 0.000 0.000 0.000
```

Calculated values
M_tot ... 1.46 Bohr magnetons per cell
Theoretical density ... 5.806 Mg/m³
Space group ... Pm-3m
Formation energy ... 0.233 eV per atom
Total DFT energy (no corrections) ... -106.9 eV per cell



[2]
Computed, not measured: a crystal of MgBeIn relaxed with PBEsol at the SCAN level of DFT.

The structure in extended XYZ format:
```
3
Lattice="-1.561 1.987 4.340 1.561 -1.987 4.340 1.561 1.987 -4.340" Properties=species:S:1:pos:R:3 pbc="T T T"
Mg 0.000 0.000 0.000
Be 0.000 0.000 5.823
In 0.000 0.000 2.773
```

Calculated values
M_tot ... 0.00 Bohr magnetons per cell
Theoretical density ... 4.569 Mg/m³
Space group ... Imm2
Formation energy ... 0.289 eV per atom
Total DFT energy (no corrections) ... -41.8 eV per cell
Energy relative to the lowest polymorph listed for this composition ... 0.00 eV per formula unit



[3]
Computed, not measured: a crystal of HgMo2Pt relaxed with PBEsol at the SCAN level of DFT.

The structure in extended XYZ format:
```
4
Lattice="2.749 0.000 0.000 0.000 2.749 0.000 0.000 0.000 8.612" Properties=species:S:1:pos:R:3 pbc="T T T"
Hg 0.000 0.000 0.000
Mo 0.000 0.000 4.454
Mo 1.374 1.374 2.280
Pt 1.374 1.374 6.319
```

Calculated values
M_tot ... 0.00 Bohr magnetons per cell
Theoretical density ... 14.996 Mg/m³
Space group ... P4mm
Formation energy ... 0.133 eV per atom
Total DFT energy (no corrections) ... -207.6 eV per cell
Energy relative to the lowest polymorph listed for this composition ... 0.00 eV per formula unit



[4]
Computed, not measured: a crystal of CdInAs2 relaxed with PBEsol at the SCAN level of DFT.

The structure in extended XYZ format:
```
4
Lattice="-2.326 2.326 3.865 2.326 -2.326 3.865 2.326 2.326 -3.865" Properties=species:S:1:pos:R:3 pbc="T T T"
Cd 0.000 0.000 0.000
In 0.000 0.000 3.865
As 2.326 0.000 1.933
As 0.000 2.326 1.933
```

Calculated values
M_tot ... 0.00 Bohr magnetons per cell
Theoretical density ... 7.485 Mg/m³
Space group ... I4/mmm
Formation energy ... 0.281 eV per atom
Total DFT energy (no corrections) ... -103.1 eV per cell



[5]
Computed, not measured: a crystal of Y2Ag2Sn relaxed with PBEsol at the SCAN level of DFT.

The structure in extended XYZ format:
```
10
Lattice="7.723 0.000 0.000 0.000 7.723 0.000 0.000 0.000 3.830" Properties=species:S:1:pos:R:3 pbc="T T T"
Y 1.326 2.536 0.000
Y 2.536 6.397 0.000
Y 5.188 1.326 0.000
Y 6.397 5.188 0.000
Ag 0.969 4.831 1.915
Ag 2.892 0.969 1.915
Ag 4.831 6.754 1.915
Ag 6.754 2.892 1.915
Sn 0.000 0.000 1.915
Sn 3.862 3.862 1.915
```

Calculated values
M_tot ... 0.00 Bohr magnetons per cell
Theoretical density ... 7.447 Mg/m³
Space group ... P4/mbm
Formation energy ... -0.565 eV per atom
Total DFT energy (no corrections) ... -314.3 eV per cell



[6]
Computed, not measured: a crystal of Cu7Ni relaxed with PBEsol at the SCAN level of DFT.

The structure in extended XYZ format:
```
8
Lattice="0.000 3.541 3.541 3.541 0.000 3.541 3.541 3.541 0.000" Properties=species:S:1:pos:R:3 pbc="T T T"
Cu 0.000 0.000 0.000
Cu 1.771 1.771 0.000
Cu 1.771 0.000 1.771
Cu 3.541 1.771 1.771
Cu 0.000 1.771 1.771
Cu 1.771 3.541 1.771
Cu 1.771 1.771 3.541
Ni 3.541 3.541 3.541
```

Calculated values
M_tot ... 0.00 Bohr magnetons per cell
Theoretical density ... 9.413 Mg/m³
Space group ... Fm-3m
Formation energy ... 0.011 eV per atom
Total DFT energy (no corrections) ... -122.5 eV per cell



[7]
Computed, not measured: a crystal of BaZr2Fe relaxed with PBEsol at the SCAN level of DFT.

The structure in extended XYZ format:
```
4
Lattice="3.225 0.000 0.000 0.000 3.225 0.000 -0.039 0.000 9.055" Properties=species:S:1:pos:R:3 pbc="T T T"
Ba 0.000 0.000 0.000
Zr 1.581 1.612 5.984
Zr 1.605 1.612 3.071
Fe -0.020 0.000 4.527
```

Calculated values
M_tot ... 0.15 Bohr magnetons per cell
Theoretical density ... 6.624 Mg/m³
Space group ... P2/m
Formation energy ... 0.260 eV per atom
Total DFT energy (no corrections) ... -118.0 eV per cell
Energy relative to the lowest polymorph listed for this composition ... 0.00 eV per formula unit



[8]
Computed, not measured: a crystal of Sc2TcC2 relaxed with PBEsol at the SCAN level of DFT.

The structure in extended XYZ format:
```
10
Lattice="5.826 0.000 0.000 0.000 5.826 0.000 0.000 0.000 3.337" Properties=species:S:1:pos:R:3 pbc="T T T"
Sc 1.077 1.836 0.000
Sc 1.836 4.749 0.000
Sc 3.990 1.077 0.000
Sc 4.749 3.990 0.000
Tc 0.000 0.000 1.669
Tc 2.913 2.913 1.669
C 0.560 3.473 1.669
C 2.353 0.560 1.669
C 3.473 5.266 1.669
C 5.266 2.353 1.669
```

Calculated values
M_tot ... 0.00 Bohr magnetons per cell
Theoretical density ... 6.213 Mg/m³
Space group ... P4/mbm
Formation energy ... -0.449 eV per atom
Total DFT energy (no corrections) ... -172.0 eV per cell
Energy relative to the lowest polymorph listed for this composition ... 0.00 eV per formula unit



The lowest theoretical density belongs to which entry?
MgBeIn